The following is a DFT calculation (PBE) of an optimized crystal structure of AcPrYAg.

Cell and atoms, written as POSCAR:
```
AcPrYAg
1.0
0.0000 3.9935 3.9935
3.9935 0.0000 3.9935
3.9935 3.9935 0.0000
Ac Pr Y Ag
1 1 1 1
direct
0.0000 0.0000 0.0000
0.2500 0.2500 0.2500
0.7500 0.7500 0.7500
0.5000 0.5000 0.5000
```

Values from the calculation:
DFT formation energy: 63 kJ/mol of formula units
Total DFT energy (no corrections): -4.387 eV/atom

=====

The following is a DFT calculation (PBE) of an optimized crystal structure of AcPrZnAg.

Cell and atoms, written as POSCAR:
```
AcPrZnAg
1.0
0.0000 3.8536 3.8536
3.8536 0.0000 3.8536
3.8536 3.8536 0.0000
Ac Pr Zn Ag
1 1 1 1
direct
0.0000 0.0000 0.0000
0.5000 0.5000 0.5000
0.7500 0.7500 0.7500
0.2500 0.2500 0.2500
```

Values from the calculation:
Offset from the most stable computed form: 22 meV per atom
DFT formation energy: -93 kJ/mol of formula units
Total DFT energy (no corrections): -3.495 eV/atom

=====

The following is a DFT calculation (PBE) of an optimized crystal structure of AcPr2Zn2Ag2.

Cell and atoms, written as POSCAR:
```
AcPr2Zn2Ag2
1.0
2.3756 1.3716 9.6116
-2.3756 1.3716 9.6116
0.0000 -2.7432 9.6116
Ac Pr Zn Ag
1 2 2 2
direct
0.0000 0.0000 0.0000
0.1265 0.1265 0.1265
0.8735 0.8735 0.8735
0.2556 0.2556 0.2556
0.7444 0.7444 0.7444
0.4046 0.4046 0.4046
0.5954 0.5954 0.5954
```

Values from the calculation:
DFT formation energy: -160 kJ/mol of formula units
Total DFT energy (no corrections): -3.368 eV/atom

=====

The following is a DFT calculation (PBE) of an optimized crystal structure of AcPrZnAg.

Cell and atoms, written as POSCAR:
```
AcPrZnAg
1.0
3.8671 0.0000 0.0000
0.0000 3.8671 0.0000
0.0000 0.0000 7.5793
Ac Pr Zn Ag
1 1 1 1
direct
0.0000 0.0000 0.0000
0.0000 0.0000 0.4884
0.5000 0.5000 0.2649
0.5000 0.5000 0.7263
```

Values from the calculation:
Offset from the most stable computed form: 0 meV per atom
DFT formation energy: -102 kJ/mol of formula units
Total DFT energy (no corrections): -3.516 eV/atom

=====

The following is a DFT calculation (PBE) of an optimized crystal structure of AcAgPt2.

Cell and atoms, written as POSCAR:
```
AcAgPt2
1.0
3.7753 0.0000 0.0000
0.0000 3.7753 0.0000
0.0000 0.0000 6.1028
Ac Ag Pt
1 1 2
direct
0.0000 0.0000 0.0000
0.0000 0.0000 0.5000
0.5000 0.5000 0.2721
0.5000 0.5000 0.7279
```

Values from the calculation:
DFT formation energy: -196 kJ/mol of formula units
Total DFT energy (no corrections): -5.269 eV/atom

=====

The following is a DFT calculation (PBE) of an optimized crystal structure of Ac6AgPt5.

Cell and atoms, written as POSCAR:
```
Ac6AgPt5
1.0
3.8430 -6.6378 0.0000
3.8430 6.6378 0.0000
-2.5542 0.0000 7.2267
Ac Ag Pt
6 1 5
direct
0.0657 0.4137 0.7418
0.2370 0.2370 0.2556
0.4137 0.0657 0.7418
0.5863 0.9343 0.2582
0.7630 0.7630 0.7444
0.9343 0.5863 0.2582
0.5000 0.5000 0.0000
0.0000 0.0000 0.5000
0.1673 0.8327 0.0000
0.3382 0.6618 0.5000
0.6618 0.3382 0.5000
0.8327 0.1673 0.0000
```

Values from the calculation:
DFT formation energy: -1188 kJ/mol of formula units
Total DFT energy (no corrections): -5.835 eV/atom

=====

The following is a DFT calculation (PBE) of an optimized crystal structure of Ac8Ag2Pt.

Cell and atoms, written as POSCAR:
```
Ac8Ag2Pt
1.0
9.9912 -2.1093 0.0000
9.9912 2.1093 0.0000
-0.6675 0.0000 10.0384
Ac Ag Pt
8 2 1
direct
0.0104 0.0104 0.2134
0.2211 0.2211 0.3324
0.3437 0.3437 0.9998
0.4068 0.4068 0.4794
0.5932 0.5932 0.5206
0.6563 0.6563 0.0002
0.7789 0.7789 0.6676
0.9896 0.9896 0.7866
0.1642 0.1642 0.7471
0.8358 0.8358 0.2529
0.5000 0.5000 0.0000
```

Values from the calculation:
DFT formation energy: -297 kJ/mol of formula units
Total DFT energy (no corrections): -4.335 eV/atom

=====

The following is a DFT calculation (PBE) of an optimized crystal structure of AcAgPt2.

Cell and atoms, written as POSCAR:
```
AcAgPt2
1.0
4.4795 0.0000 0.0000
0.0000 4.4795 0.0000
0.0000 0.0000 4.2397
Ac Ag Pt
1 1 2
direct
0.0000 0.0000 0.0000
0.5000 0.5000 0.0000
0.0000 0.5000 0.5000
0.5000 0.0000 0.5000
```

Values from the calculation:
DFT formation energy: -220 kJ/mol of formula units
Total DFT energy (no corrections): -5.329 eV/atom

=====

The following is a DFT calculation (PBE) of an optimized crystal structure of Ac6AgPt4.

Cell and atoms, written as POSCAR:
```
Ac6AgPt4
1.0
2.1976 -7.3068 0.0000
2.1976 7.3068 0.0000
0.0000 0.0000 22.6203
Ac Ag Pt
12 2 8
direct
0.0000 0.0000 0.0000
0.0000 0.0000 0.5000
0.1774 0.8226 0.7500
0.2721 0.7279 0.0819
0.2721 0.7279 0.4181
0.4597 0.5403 0.6582
0.4597 0.5403 0.8418
0.5403 0.4597 0.1582
0.5403 0.4597 0.3418
0.7279 0.2721 0.5819
0.7279 0.2721 0.9181
0.8226 0.1774 0.2500
0.1542 0.8458 0.2500
0.8458 0.1542 0.7500
0.0944 0.9056 0.6274
0.0944 0.9056 0.8726
0.3629 0.6371 0.5419
0.3629 0.6371 0.9581
0.6371 0.3629 0.0419
0.6371 0.3629 0.4581
0.9056 0.0944 0.1274
0.9056 0.0944 0.3726
```

Values from the calculation:
DFT formation energy: -995 kJ/mol of formula units
Total DFT energy (no corrections): -5.634 eV/atom

=====

The following is a DFT calculation (PBE) of an optimized crystal structure of AcAg4Pt.

Cell and atoms, written as POSCAR:
```
AcAg4Pt
1.0
0.0000 3.9718 3.9718
3.9718 0.0000 3.9718
3.9718 3.9718 0.0000
Ac Ag Pt
1 4 1
direct
0.0000 0.0000 0.0000
0.3758 0.3758 0.3758
0.3758 0.3758 0.8725
0.3758 0.8725 0.3758
0.8725 0.3758 0.3758
0.7500 0.7500 0.7500
```

Values from the calculation:
DFT formation energy: -126 kJ/mol of formula units
Total DFT energy (no corrections): -3.810 eV/atom

=====

The following is a DFT calculation (PBE) of an optimized crystal structure of Ac2Ag3Pt2.

Cell and atoms, written as POSCAR:
```
Ac2Ag3Pt2
1.0
5.3088 -2.1848 0.0000
5.3088 2.1848 0.0000
-1.0389 0.0000 7.2428
Ac Ag Pt
2 3 2
direct
0.1186 0.1186 0.3320
0.8814 0.8814 0.6680
0.1932 0.1932 0.8875
0.5000 0.5000 0.0000
0.8068 0.8068 0.1125
0.4061 0.4061 0.3465
0.5939 0.5939 0.6535
```

Values from the calculation:
DFT formation energy: -408 kJ/mol of formula units
Total DFT energy (no corrections): -4.726 eV/atom

=====

The following is a DFT calculation (PBE) of an optimized crystal structure of Ac7AgPt5.

Cell and atoms, written as POSCAR:
```
Ac7AgPt5
1.0
7.3077 -2.2035 0.0000
7.3077 2.2035 0.0000
-0.0062 0.0000 26.2895
Ac Ag Pt
14 2 10
direct
0.0388 0.0388 0.2500
0.1356 0.1356 0.5357
0.1356 0.1356 0.9643
0.3244 0.3244 0.3281
0.3245 0.3245 0.1719
0.4086 0.4086 0.6049
0.4085 0.4085 0.8951
0.5915 0.5915 0.1049
0.5914 0.5914 0.3951
0.6755 0.6755 0.8281
0.6756 0.6756 0.6719
0.8644 0.8644 0.0357
0.8644 0.8644 0.4643
0.9612 0.9612 0.7500
0.2906 0.2906 0.7501
0.7094 0.7094 0.2499
0.0414 0.0414 0.6445
0.0412 0.0412 0.8556
0.2274 0.2274 0.0721
0.2273 0.2273 0.4278
0.5000 0.5000 0.0000
0.5000 0.5000 0.5000
0.7727 0.7727 0.5722
0.7726 0.7726 0.9279
0.9588 0.9588 0.1444
0.9586 0.9586 0.3555
```

Values from the calculation:
DFT formation energy: -1219 kJ/mol of formula units
Total DFT energy (no corrections): -5.727 eV/atom